1.
# La3Zn2SnPd9, optimized geometry, DFT PBE
data_La3Zn2SnPd9
_space_group_name_H-M_alt 'P -3 m 1'
_space_group_IT_number 164
_space_group_name_Hall '-P 3 2"'
_cell_length_a 5.7352
_cell_length_b 5.7352
_cell_length_c 11.8611
_cell_angle_alpha 90.00
_cell_angle_beta 90.00
_cell_angle_gamma 120.00
loop_
_atom_site_label
_atom_site_fract_x
_atom_site_fract_y
_atom_site_fract_z
La1 0.0000 0.0000 0.0000
La2 0.3333 0.6667 0.7421
Zn1 0.3333 0.6667 0.1624
Sn1 0.0000 0.0000 0.5000
Pd1 0.0000 0.5000 0.0000
Pd2 0.1681 0.3361 0.3258
# **N(E_F)**: 4.98 states/eV per cell
# **Formation energy from the elements**: -585 meV per atom
# **M_tot**: 0.0 μB per formula unit



2.
# NaLiSb2I, optimized geometry, DFT PBE
data_NaLiSb2I
_space_group_name_H-M_alt 'P 4/m m m'
_space_group_IT_number 123
_space_group_name_Hall '-P 4 2'
_cell_length_a 5.4545
_cell_length_b 5.4545
_cell_length_c 6.2118
_cell_angle_alpha 90.00
_cell_angle_beta 90.00
_cell_angle_gamma 90.00
loop_
_atom_site_label
_atom_site_fract_x
_atom_site_fract_y
_atom_site_fract_z
Na1 0.0000 0.0000 0.0000
Li1 0.5000 0.5000 0.5000
Sb1 0.0000 0.5000 0.0000
I1 0.0000 0.0000 0.5000
# **N(E_F)**: 4.29 states/eV per cell
# **M_tot**: 0.0 μB per formula unit
# **Distance to the lowest polymorph of the same formula**: 409 meV per atom
# **E_form (uncorrected)**: 1.729 eV/f.u.



3.
# ZrCl, optimized geometry, DFT PBE
data_ZrCl
_space_group_name_H-M_alt 'P 63/m m c'
_space_group_IT_number 194
_space_group_name_Hall '-P 6c 2c'
_cell_length_a 3.1991
_cell_length_b 3.1991
_cell_length_c 8.8296
_cell_angle_alpha 90.00
_cell_angle_beta 90.00
_cell_angle_gamma 120.00
loop_
_atom_site_label
_atom_site_fract_x
_atom_site_fract_y
_atom_site_fract_z
Zr1 0.3333 0.6667 0.2500
Cl1 0.0000 0.0000 0.0000
# **N(E_F)**: 5.69 states/eV per cell
# **M_tot**: 0.0 μB per formula unit
# **E_form (uncorrected)**: -1.214 eV/f.u.



4.
# TaZnW2, optimized geometry, DFT PBE
data_TaZnW2
_space_group_name_H-M_alt 'C m m m'
_space_group_IT_number 65
_space_group_name_Hall '-C 2 2'
_cell_length_a 5.5262
_cell_length_b 8.8577
_cell_length_c 2.6819
_cell_angle_alpha 90.00
_cell_angle_beta 90.00
_cell_angle_gamma 90.00
loop_
_atom_site_label
_atom_site_fract_x
_atom_site_fract_y
_atom_site_fract_z
Ta1 0.0000 0.0000 0.0000
Zn1 0.0000 0.5000 0.0000
W1 0.2500 0.2500 0.5000
# **N(E_F)**: 4.37 states/eV per cell
# **Formation energy from the elements**: 294 meV per atom
# **M_tot**: 0.0 μB per formula unit



5.
# MgRhCl2O, optimized geometry, DFT PBE
data_MgRhCl2O
_space_group_name_H-M_alt 'P 4/m m m'
_space_group_IT_number 123
_space_group_name_Hall '-P 4 2'
_cell_length_a 4.9377
_cell_length_b 4.9377
_cell_length_c 3.7874
_cell_angle_alpha 90.00
_cell_angle_beta 90.00
_cell_angle_gamma 90.00
loop_
_atom_site_label
_atom_site_fract_x
_atom_site_fract_y
_atom_site_fract_z
Mg1 0.0000 0.0000 0.0000
Rh1 0.5000 0.5000 0.5000
Cl1 0.0000 0.5000 0.0000
O1 0.0000 0.0000 0.5000
# **N(E_F)**: 5.55 states/eV per cell
# **M_tot**: 3.0 μB per formula unit
# **E_form (uncorrected)**: -1.802 eV/f.u.



6.
# Fe2HgRu2, optimized geometry, DFT PBE
data_Fe2HgRu2
_space_group_name_H-M_alt 'P 4/m b m'
_space_group_IT_number 127
_space_group_name_Hall '-P 4 2ab'
_cell_length_a 7.2252
_cell_length_b 7.2252
_cell_length_c 2.7404
_cell_angle_alpha 90.00
_cell_angle_beta 90.00
_cell_angle_gamma 90.00
loop_
_atom_site_label
_atom_site_fract_x
_atom_site_fract_y
_atom_site_fract_z
Fe1 0.1164 0.3836 0.0000
Hg1 0.0000 0.0000 0.0000
Ru1 0.1692 0.6692 0.5000
# **N(E_F)**: 14.05 states/eV per cell
# **Formation energy from the elements**: 418 meV per atom
# **M_tot**: 2.8 μB per formula unit



7.
# Tm7Ir2Rh2, optimized geometry, DFT PBE
data_Tm7Ir2Rh2
_space_group_name_H-M_alt 'C 1 2/m 1'
_space_group_IT_number 12
_space_group_name_Hall '-C 2y'
_cell_length_a 10.0521
_cell_length_b 8.3786
_cell_length_c 6.7243
_cell_angle_alpha 90.00
_cell_angle_beta 90.06
_cell_angle_gamma 90.00
loop_
_atom_site_label
_atom_site_fract_x
_atom_site_fract_y
_atom_site_fract_z
Tm1 0.0000 0.0000 0.0000
Tm2 0.0002 0.5000 0.2595
Tm3 0.2501 0.2499 0.2609
Ir1 0.2229 0.5000 0.0001
Rh1 0.0000 0.2230 0.5000
# **N(E_F)**: 11.47 states/eV per cell
# **Formation energy from the elements**: -582 meV per atom
# **M_tot**: 0.0 μB per formula unit



8.
# Sm2Ge4PdAu3, optimized geometry, DFT PBE
data_Sm2Ge4PdAu3
_space_group_name_H-M_alt 'P -4 m 2'
_space_group_IT_number 115
_space_group_name_Hall 'P -4 -2'
_cell_length_a 4.3319
_cell_length_b 4.3319
_cell_length_c 10.8983
_cell_angle_alpha 90.00
_cell_angle_beta 90.00
_cell_angle_gamma 90.00
loop_
_atom_site_label
_atom_site_fract_x
_atom_site_fract_y
_atom_site_fract_z
Sm1 0.0000 0.5000 0.2345
Ge1 0.0000 0.0000 0.5000
Ge2 0.0000 0.5000 0.8699
Ge3 0.5000 0.5000 0.5000
Pd1 0.5000 0.5000 0.0000
Au1 0.0000 0.0000 0.0000
Au2 0.0000 0.5000 0.6407
# **N(E_F)**: 4.22 states/eV per cell
# **Formation energy from the elements**: -587 meV per atom
# **M_tot**: 0.0 μB per formula unit



What did the fifth record say?
# MgRhCl2O, optimized geometry, DFT PBE
data_MgRhCl2O
_space_group_name_H-M_alt 'P 4/m m m'
_space_group_IT_number 123
_space_group_name_Hall '-P 4 2'
_cell_length_a 4.9377
_cell_length_b 4.9377
_cell_length_c 3.7874
_cell_angle_alpha 90.00
_cell_angle_beta 90.00
_cell_angle_gamma 90.00
loop_
_atom_site_label
_atom_site_fract_x
_atom_site_fract_y
_atom_site_fract_z
Mg1 0.0000 0.0000 0.0000
Rh1 0.5000 0.5000 0.5000
Cl1 0.0000 0.5000 0.0000
O1 0.0000 0.0000 0.5000
# **N(E_F)**: 5.55 states/eV per cell
# **M_tot**: 3.0 μB per formula unit
# **E_form (uncorrected)**: -1.802 eV/f.u.